The following is a PBE-GGA calculation of an optimized crystal structure of Er7Al2Bi2, from Alexandria.

As for the calculated formation energy: -106.4 meV/atom. As for the final energy: -96.7 eV per cell. The volume comes out at 695.97 Å³/cell.

Lattice parameters (Å, degrees): 9.3857 10.8366 6.8427 90.00 90.00 90.00
Closest atoms and distances in Å follow each position.
Space group Cmmm (No. 65)
Asymmetric unit:
Er 0.0000 0.0000 0.0000 [2 per cell]  2 Al 2.95
Er 0.0000 0.5000 0.2437 [4 per cell]  2 Al 2.98, 2 Bi 3.30
Er 0.2500 0.2500 0.2492 [8 per cell]  2 Al 2.91, 2 Bi 3.24
Al 0.0000 0.2725 0.0000 [4 per cell]  7 Er 2.91-2.98
Bi 0.2016 0.0000 0.5000 [4 per cell]  6 Er 3.24-3.30